A.
# Nd8ErTm2

A relaxed Nd8ErTm2 crystal (GGA-PBE, Alexandria via LeMat-Bulk).

The structure in POSCAR format:
```
Nd8ErTm2
1.0
-1.0080 5.2546 1.9250
-8.0934 -1.0970 -1.2438
3.7924 -4.9644 7.1388
Nd Er Tm
8 1 2
direct
0.6361 0.8402 0.2723
0.3639 0.5679 0.7277
0.1636 0.1636 0.3272
0.0000 0.2930 0.0000
0.8364 0.8364 0.6728
0.6361 0.4321 0.2723
0.3639 0.1598 0.7277
0.0000 0.7070 0.0000
0.5000 0.0000 0.0000
0.2008 0.7008 0.4017
0.7992 0.2992 0.5983
```

Output
Its crystal system is orthorhombic.


B.
# Nd8ErTm2

A relaxed Nd8ErTm2 crystal (GGA-PBE, Alexandria via LeMat-Bulk).

The structure in POSCAR format:
```
Nd8ErTm2
1.0
6.3180 1.7889 1.3574
2.1256 9.6601 3.0613
2.1256 5.5494 8.4790
Nd Er Tm
8 1 2
direct
0.2315 0.3478 0.8250
0.7685 0.1750 0.6522
0.1673 0.7555 0.7555
0.8327 0.2445 0.2445
0.2315 0.8250 0.3478
0.7685 0.6522 0.1750
0.7244 0.5957 0.5957
0.2756 0.4043 0.4043
0.0000 0.0000 0.0000
0.5831 0.8047 0.8047
0.4169 0.1953 0.1953
```

Output
Its crystal system is monoclinic.


Which is more stable than every other structure shown? A is more stable than every other one.